An optimized crystal structure of Sc2NiB2Rh5. Source: Alexandria, functional GGA-PBE.

Calculated values
Its crystal system is tetragonal. The value obtained for the total energy is -7.549 eV per atom. Its volume is 264.8 Å³ per cell. The value obtained for the total magnetic moment is 0.114 μB per atom. Its formation energy is -0.69 eV per atom.

a b c (Å): 3.108 9.230 9.230
angles (deg): 90.00 90.00 90.00
Positions (direct):
Rh1 0.500 0.071 0.785
Rh2 0.500 0.500 0.000
Rh3 0.500 0.785 0.929
Rh4 0.500 0.429 0.285
Rh5 0.500 0.215 0.071
Rh6 0.500 0.571 0.715
Rh7 0.500 0.000 0.500
Rh8 0.500 0.285 0.571
Rh9 0.500 0.715 0.429
Rh10 0.500 0.929 0.215
Sc1 0.000 0.325 0.825
Sc2 0.000 0.175 0.325
Sc3 0.000 0.675 0.175
Sc4 0.000 0.825 0.675
B1 0.000 0.874 0.374
B2 0.000 0.126 0.626
B3 0.000 0.374 0.126
B4 0.000 0.626 0.874
Ni1 0.000 0.000 0.000
Ni2 0.000 0.500 0.500